The following is a PBE-GGA calculation of a geometry-optimized BaNd4Se5 structure, from the Alexandria database.

POSCAR file:
```
BaNd4Se5
1.0
7.1986 -2.1414 0.0000
7.1986 2.1414 0.0000
-5.2477 0.0000 9.2126
Ba Nd Se
1 4 5
Direct
0.0000 0.0000 0.0000
0.1984 0.1984 0.7846
0.4059 0.4059 0.5986
0.5941 0.5941 0.4014
0.8016 0.8016 0.2154
0.0000 0.0000 0.5000
0.2028 0.2028 0.3145
0.3868 0.3868 0.1043
0.6132 0.6132 0.8957
0.7972 0.7972 0.6855
```

Formation energy from raw total energies ... -178.8 kJ per mole of atoms
M_tot ... 0.00 μB per formula unit